# KNp2CuS4

Crystalline KNp2CuS4 at its relaxed geometry (PBE, Alexandria via LeMat-Bulk).

Geometry as POSCAR:
```
KNp2CuS4
1.0
1.987 -6.784 0.000
1.987 6.784 0.000
0.000 0.000 13.684
K Np Cu S
2 4 2 8
Cartesian
1.987 5.334 10.263
1.987 -5.334 3.421
1.987 1.798 7.656
1.987 1.798 12.869
1.987 -1.798 0.815
1.987 -1.798 6.027
1.987 4.542 3.421
1.987 -4.542 10.263
0.000 0.000 0.000
0.000 0.000 6.842
1.987 3.227 1.513
1.987 3.227 5.329
1.987 0.986 10.263
1.987 -0.986 3.421
1.987 -3.227 8.354
1.987 -3.227 12.171
```

Summary:
The total DFT energy (no corrections) is -7.177 eV/atom. As for the space-group type: Cmcm, No. 63. As for the volume: 23.1 Å³/atom.